No. 1
The following is a DFT calculation (PBE) of a relaxed structure of HfSiPb3.

- ΔE_f (raw) (meV/atom) = 874
- crystal system = cubic
- distance to the lowest polymorph of the same formula (meV/atom) = 0

a = 5.6080 Å, b = 5.6080 Å, c = 5.6080 Å
α = 90.00°, β = 90.00°, γ = 90.00°
Sites, in units of the cell vectors:
Hf (0.0000, 0.0000, 0.0000)
Pb (0.5000, 0.0000, 0.0000)
Pb (0.0000, 0.0000, 0.5000)
Pb (0.0000, 0.5000, 0.0000)
Si (0.5000, 0.5000, 0.5000)

---

No. 2
The following is a DFT calculation (PBE) of a relaxed structure of HfSi3Pb.

- ΔE_f (raw) (meV/atom) = 630
- crystal system = cubic
- distance to the lowest polymorph of the same formula (meV/atom) = 0

a = 5.0839 Å, b = 5.0839 Å, c = 5.0839 Å
α = 90.00°, β = 90.00°, γ = 90.00°
Sites, in units of the cell vectors:
Si (0.0000, 0.5000, 0.0000)
Si (0.0000, 0.0000, 0.5000)
Si (0.5000, 0.0000, 0.0000)
Hf (0.0000, 0.0000, 0.0000)
Pb (0.5000, 0.5000, 0.5000)

---

No. 3
The following is a DFT calculation (PBE) of a relaxed structure of Hf5Si2Pb2.

- ΔE_f (raw) (meV/atom) = -421
- crystal system = orthorhombic

a = 7.2404 Å, b = 7.1558 Å, c = 8.1293 Å
α = 90.00°, β = 63.56°, γ = 90.00°
Sites, in units of the cell vectors:
Hf (0.7144, 0.3287, 0.2346)
Hf (0.0000, 0.0000, 0.0000)
Hf (0.9490, 0.3287, 0.7654)
Hf (0.2144, 0.1713, 0.2346)
Hf (0.5000, 0.5000, 0.0000)
Hf (0.0510, 0.6713, 0.2346)
Hf (0.7856, 0.8287, 0.7654)
Hf (0.2856, 0.6713, 0.7654)
Hf (0.5510, 0.8287, 0.2346)
Hf (0.4490, 0.1713, 0.7654)
Pb (0.7169, 0.5000, 0.5662)
Pb (0.2831, 0.5000, 0.4338)
Pb (0.2169, 0.0000, 0.5662)
Pb (0.7831, 0.0000, 0.4338)
Si (0.1257, 0.3752, 0.0000)
Si (0.8743, 0.6248, 0.0000)
Si (0.3743, 0.8752, 0.0000)
Si (0.6257, 0.1248, 0.0000)

---

No. 4
The following is a DFT calculation (PBE) of a relaxed structure of Hf2SiPb.

- ΔE_f (raw) (meV/atom) = 90
- crystal system = cubic
- distance to the lowest polymorph of the same formula (meV/atom) = 353

a = 4.8852 Å, b = 4.8852 Å, c = 4.8852 Å
α = 60.00°, β = 60.00°, γ = 60.00°
Sites, in units of the cell vectors:
Si (0.0000, 0.0000, 0.0000)
Pb (0.5000, 0.5000, 0.5000)
Hf (0.2500, 0.2500, 0.2500)
Hf (0.7500, 0.7500, 0.7500)

---

No. 5
The following is a DFT calculation (PBE) of a relaxed structure of HfSiPb3.

- ΔE_f (raw) (meV/atom) = 954
- crystal system = cubic
- distance to the lowest polymorph of the same formula (meV/atom) = 80

a = 5.3062 Å, b = 5.3062 Å, c = 5.3062 Å
α = 90.00°, β = 90.00°, γ = 90.00°
Sites, in units of the cell vectors:
Pb (0.0000, 0.5000, 0.0000)
Pb (0.5000, 0.0000, 0.0000)
Pb (0.0000, 0.0000, 0.5000)
Si (0.0000, 0.0000, 0.0000)
Hf (0.5000, 0.5000, 0.5000)

---

No. 6
The following is a DFT calculation (PBE) of a relaxed structure of Hf2SiPb.

- ΔE_f (raw) (meV/atom) = -10
- crystal system = tetragonal
- distance to the lowest polymorph of the same formula (meV/atom) = 253

a = 7.6041 Å, b = 7.6041 Å, c = 6.1816 Å
α = 52.04°, β = 52.04°, γ = 90.00°
Sites, in units of the cell vectors:
Hf (0.8750, 0.8470, 0.7500)
Hf (0.1530, 0.6250, 0.2500)
Hf (0.3750, 0.4030, 0.7500)
Hf (0.5970, 0.1250, 0.2500)
Si (0.5000, 0.5000, 0.0000)
Si (0.2500, 0.7500, 0.5000)
Pb (0.7500, 0.2500, 0.5000)
Pb (0.0000, 0.0000, 0.0000)

---

No. 7
The following is a DFT calculation (PBE) of a relaxed structure of HfTa2SiPb.

- ΔE_f (raw) (meV/atom) = 599
- crystal system = tetragonal

a = 4.6936 Å, b = 4.9919 Å, c = 4.6936 Å
α = 90.00°, β = 90.00°, γ = 90.00°
Sites, in units of the cell vectors:
Ta (0.5000, 0.0000, 0.0000)
Ta (0.0000, 0.0000, 0.5000)
Si (0.0000, 0.0000, 0.0000)
Hf (0.0000, 0.5000, 0.0000)
Pb (0.5000, 0.5000, 0.5000)

---

No. 8
The following is a DFT calculation (PBE) of a relaxed structure of Hf2SiTePb.

- ΔE_f (raw) (meV/atom) = 1628
- crystal system = tetragonal

a = 5.4336 Å, b = 5.6199 Å, c = 5.4336 Å
α = 90.00°, β = 90.00°, γ = 90.00°
Sites, in units of the cell vectors:
Te (0.0000, 0.5000, 0.0000)
Si (0.5000, 0.5000, 0.5000)
Hf (0.5000, 0.0000, 0.0000)
Hf (0.0000, 0.0000, 0.5000)
Pb (0.0000, 0.0000, 0.0000)

---

No. 9
The following is a DFT calculation (PBE) of a relaxed structure of Hf2VSiPb.

- ΔE_f (raw) (meV/atom) = 1612
- crystal system = tetragonal

a = 5.3149 Å, b = 4.9580 Å, c = 5.3149 Å
α = 90.00°, β = 90.00°, γ = 90.00°
Site moments in Bohr magnetons follow the coordinates.
Sites, in units of the cell vectors:
Pb (0.0000, 0.0000, 0.0000)  -0.03
V (0.0000, 0.5000, 0.0000)  2.54
Hf (0.0000, 0.0000, 0.5000)  -0.11
Hf (0.5000, 0.0000, 0.0000)  -0.10
Si (0.5000, 0.5000, 0.5000)  -0.02

---

No. 10
The following is a DFT calculation (PBE) of a relaxed structure of SmHfPb2.

- calculated formation energy (eV per atom) = -0.15
- crystal system = trigonal
- distance to the lowest polymorph of the same formula (meV/atom) = 20

a = 4.8772 Å, b = 4.8772 Å, c = 6.0872 Å
α = 66.38°, β = 66.38°, γ = 60.00°
Sites, in units of the cell vectors:
Pb (0.2391, 0.2391, 0.2828)
Pb (0.7609, 0.7609, 0.7172)
Hf (0.5000, 0.5000, 0.5000)
Sm (0.0000, 0.0000, 0.0000)

---

No. 11
The following is a DFT calculation (PBE) of a relaxed structure of SmHfPb2.

- calculated formation energy (eV per atom) = -0.17
- crystal system = tetragonal
- distance to the lowest polymorph of the same formula (meV/atom) = 0

a = 3.4088 Å, b = 3.4088 Å, c = 8.9863 Å
α = 90.00°, β = 90.00°, γ = 90.00°
Site moments in Bohr magnetons follow the coordinates.
Sites, in units of the cell vectors:
Pb (0.0000, 0.0000, 0.2343)  0.00
Pb (0.0000, 0.0000, 0.7657)  0.00
Hf (0.5000, 0.5000, 0.0000)  0.01
Sm (0.5000, 0.5000, 0.5000)  0.10

---

No. 12
The following is a DFT calculation (PBE) of a relaxed structure of SmHfPb.

- calculated formation energy (eV per atom) = -0.28
- crystal system = tetragonal

a = 4.4183 Å, b = 4.4183 Å, c = 9.0185 Å
α = 104.15°, β = 104.15°, γ = 90.01°
Site moments in Bohr magnetons follow the coordinates.
Sites, in units of the cell vectors:
Sm (0.6731, 0.6731, 0.3463)  0.18
Sm (0.3269, 0.3269, 0.6537)  0.18
Pb (0.1303, 0.1303, 0.2606)  -0.01
Pb (0.8697, 0.8697, 0.7394)  -0.01
Hf (0.5000, 0.0000, 0.0000)  0.25
Hf (0.0000, 0.5000, 0.0000)  0.25

---

No. 13
The following is a DFT calculation (PBE) of a relaxed structure of SmHfPb2.

- calculated formation energy (eV per atom) = -0.12
- crystal system = tetragonal
- distance to the lowest polymorph of the same formula (meV/atom) = 44

a = 4.4776 Å, b = 4.8523 Å, c = 4.8523 Å
α = 90.00°, β = 90.00°, γ = 90.00°
Sites, in units of the cell vectors:
Pb (0.0000, 0.5000, 0.0000)
Pb (0.0000, 0.0000, 0.5000)
Hf (0.5000, 0.0000, 0.0000)
Sm (0.5000, 0.5000, 0.5000)

---

No. 14
The following is a DFT calculation (PBE) of a relaxed structure of Hf2SnPb.

- calculated formation energy (eV per atom) = 0.08
- crystal system = cubic
- distance to the lowest polymorph of the same formula (meV/atom) = 148

a = 5.0621 Å, b = 5.0621 Å, c = 5.0621 Å
α = 60.00°, β = 60.00°, γ = 60.00°
Sites, in units of the cell vectors:
Pb (0.5000, 0.5000, 0.5000)
Hf (0.2500, 0.2500, 0.2500)
Hf (0.7500, 0.7500, 0.7500)
Sn (0.0000, 0.0000, 0.0000)

---

No. 15
The following is a DFT calculation (PBE) of a relaxed structure of Hf2Sn2Pb.

- calculated formation energy (eV per atom) = -0.05
- crystal system = tetragonal
- distance to the lowest polymorph of the same formula (meV/atom) = 56

a = 8.8614 Å, b = 8.8614 Å, c = 3.1991 Å
α = 90.00°, β = 90.00°, γ = 90.00°
Sites, in units of the cell vectors:
Sn (0.3357, 0.8357, 0.0000)
Sn (0.8357, 0.6643, 0.0000)
Sn (0.1643, 0.3357, 0.0000)
Sn (0.6643, 0.1643, 0.0000)
Hf (0.1272, 0.6272, 0.5000)
Hf (0.6272, 0.8728, 0.5000)
Hf (0.8728, 0.3728, 0.5000)
Hf (0.3728, 0.1272, 0.5000)
Pb (0.5000, 0.5000, 0.0000)
Pb (0.0000, 0.0000, 0.0000)

---

No. 16
The following is a DFT calculation (PBE) of a relaxed structure of HfSn2Pb2.

- calculated formation energy (eV per atom) = 0.19
- crystal system = tetragonal

a = 7.6553 Å, b = 7.6553 Å, c = 4.8433 Å
α = 90.00°, β = 90.00°, γ = 90.00°
Sites, in units of the cell vectors:
Sn (0.3616, 0.8616, 0.0000)
Sn (0.1384, 0.3616, 0.0000)
Sn (0.8616, 0.6384, 0.0000)
Sn (0.6384, 0.1384, 0.0000)
Pb (0.8276, 0.3276, 0.5000)
Pb (0.6724, 0.8276, 0.5000)
Pb (0.3276, 0.1724, 0.5000)
Pb (0.1724, 0.6724, 0.5000)
Hf (0.0000, 0.0000, 0.0000)
Hf (0.5000, 0.5000, 0.0000)

---

No. 17
The following is a DFT calculation (PBE) of a relaxed structure of Hf2SnPb.

- calculated formation energy (eV per atom) = 0.11
- crystal system = tetragonal
- distance to the lowest polymorph of the same formula (meV/atom) = 177

a = 7.9458 Å, b = 7.9458 Å, c = 6.4322 Å
α = 51.85°, β = 51.85°, γ = 90.00°
Sites, in units of the cell vectors:
Hf (0.1292, 0.6250, 0.2500)
Hf (0.8750, 0.8708, 0.7500)
Hf (0.3750, 0.3792, 0.7500)
Hf (0.6208, 0.1250, 0.2500)
Pb (0.0000, 0.0000, 0.0000)
Pb (0.7500, 0.2500, 0.5000)
Sn (0.5000, 0.5000, 0.0000)
Sn (0.2500, 0.7500, 0.5000)

---

No. 18
The following is a DFT calculation (PBE) of a relaxed structure of HfSnPb2.

- calculated formation energy (eV per atom) = 0.36
- crystal system = trigonal

a = 3.3259 Å, b = 3.3259 Å, c = 12.0799 Å
α = 82.09°, β = 82.09°, γ = 60.00°
Sites, in units of the cell vectors:
Hf (0.0000, 0.0000, 0.0000)
Sn (0.5000, 0.5000, 0.5000)
Pb (0.9158, 0.9158, 0.2526)
Pb (0.0842, 0.0842, 0.7474)

---

No. 19
The following is a DFT calculation (PBE) of a relaxed structure of Hf2Sn2Pb.

- calculated formation energy (eV per atom) = -0.10
- crystal system = tetragonal
- distance to the lowest polymorph of the same formula (meV/atom) = 0

a = 7.7232 Å, b = 7.7232 Å, c = 4.0802 Å
α = 90.00°, β = 90.00°, γ = 90.00°
Sites, in units of the cell vectors:
Pb (0.5000, 0.5000, 0.0000)
Pb (0.0000, 0.0000, 0.0000)
Sn (0.1581, 0.6581, 0.5000)
Sn (0.8419, 0.3419, 0.5000)
Sn (0.3419, 0.1581, 0.5000)
Sn (0.6581, 0.8419, 0.5000)
Hf (0.8582, 0.6418, 0.0000)
Hf (0.1418, 0.3582, 0.0000)
Hf (0.3582, 0.8582, 0.0000)
Hf (0.6418, 0.1418, 0.0000)

---

No. 20
The following is a DFT calculation (PBE) of a relaxed structure of HfSn2Pb.

- calculated formation energy (eV per atom) = 0.17
- crystal system = tetragonal

a = 4.3276 Å, b = 4.3276 Å, c = 11.7176 Å
α = 79.36°, β = 79.36°, γ = 90.00°
Sites, in units of the cell vectors:
Hf (0.2500, 0.7500, 0.5000)
Hf (0.5000, 0.5000, 0.0000)
Sn (0.8750, 0.8656, 0.7500)
Sn (0.6156, 0.1250, 0.2500)
Sn (0.3750, 0.3844, 0.7500)
Sn (0.1344, 0.6250, 0.2500)
Pb (0.0000, 0.0000, 0.0000)
Pb (0.7500, 0.2500, 0.5000)

---

No. 21
The following is a DFT calculation (PBE) of a relaxed structure of Hf8SnPb2.

- calculated formation energy (eV per atom) = -0.09
- crystal system = monoclinic

a = 4.4003 Å, b = 7.4629 Å, c = 8.2937 Å
α = 108.66°, β = 105.38°, γ = 90.00°
Sites, in units of the cell vectors:
Hf (0.6803, 0.9195, 0.3607)
Hf (0.8625, 0.8092, 0.7250)
Hf (0.3197, 0.0805, 0.6393)
Hf (0.1375, 0.1908, 0.2750)
Hf (0.0458, 0.7434, 0.0915)
Hf (0.4151, 0.5521, 0.8303)
Hf (0.9542, 0.2566, 0.9085)
Hf (0.5849, 0.4479, 0.1697)
Pb (0.2200, 0.6491, 0.4400)
Pb (0.7800, 0.3509, 0.5600)
Sn (0.5000, 0.0000, 0.0000)

---

No. 22
The following is a DFT calculation (PBE) of a relaxed structure of HfSnPb2.

- calculated formation energy (eV per atom) = 0.66
- crystal system = tetragonal

a = 6.6155 Å, b = 6.6155 Å, c = 8.4715 Å
α = 67.02°, β = 67.02°, γ = 90.00°
Sites, in units of the cell vectors:
Sn (0.2500, 0.7500, 0.5000)
Sn (0.5000, 0.5000, 0.0000)
Hf (0.7500, 0.2500, 0.5000)
Hf (0.0000, 0.0000, 0.0000)
Pb (0.3750, 0.3631, 0.7500)
Pb (0.1131, 0.6250, 0.2500)
Pb (0.6369, 0.1250, 0.2500)
Pb (0.8750, 0.8869, 0.7500)

---

No. 23
The following is a DFT calculation (PBE) of a relaxed structure of HfSn2Pb.

- calculated formation energy (eV per atom) = -0.02
- crystal system = tetragonal

a = 3.9615 Å, b = 3.9615 Å, c = 6.3959 Å
α = 90.00°, β = 90.00°, γ = 90.00°
Sites, in units of the cell vectors:
Hf (0.5000, 0.5000, 0.0000)
Sn (0.0000, 0.0000, 0.2299)
Sn (0.0000, 0.0000, 0.7701)
Pb (0.5000, 0.5000, 0.5000)

---

No. 24
The following is a DFT calculation (PBE) of a relaxed structure of Hf2SnPb.

- calculated formation energy (eV per atom) = 0.05
- crystal system = trigonal
- distance to the lowest polymorph of the same formula (meV/atom) = 111

a = 4.1486 Å, b = 4.1486 Å, c = 7.1653 Å
α = 73.17°, β = 73.17°, γ = 60.00°
Sites, in units of the cell vectors:
Hf (0.7479, 0.7479, 0.7563)
Hf (0.2521, 0.2521, 0.2437)
Pb (0.5000, 0.5000, 0.5000)
Sn (0.0000, 0.0000, 0.0000)

---

No. 25
The following is a DFT calculation (PBE) of a relaxed structure of Hf12Sn3Pb.

- calculated formation energy (eV per atom) = -0.17
- crystal system = orthorhombic

a = 5.5968 Å, b = 5.5951 Å, c = 11.2069 Å
α = 90.00°, β = 90.00°, γ = 90.00°
Sites, in units of the cell vectors:
Sn (0.5000, 0.5000, 0.2501)
Sn (0.0000, 0.0000, 0.0000)
Sn (0.5000, 0.5000, 0.7499)
Hf (0.5000, 0.0000, 0.3741)
Hf (0.0000, 0.2503, 0.7524)
Hf (0.0000, 0.2503, 0.2476)
Hf (0.0000, 0.7497, 0.2476)
Hf (0.0000, 0.7497, 0.7524)
Hf (0.2502, 0.5000, 0.0000)
Hf (0.5000, 0.0000, 0.6259)
Hf (0.2518, 0.5000, 0.5000)
Hf (0.5000, 0.0000, 0.1247)
Hf (0.7482, 0.5000, 0.5000)
Hf (0.7498, 0.5000, 0.0000)
Hf (0.5000, 0.0000, 0.8753)
Pb (0.0000, 0.0000, 0.5000)

---

No. 26
The following is a DFT calculation (PBE) of a relaxed structure of Hf2SnPb.

- calculated formation energy (eV per atom) = -0.06
- crystal system = tetragonal
- distance to the lowest polymorph of the same formula (meV/atom) = 0

a = 3.2652 Å, b = 3.2652 Å, c = 8.5769 Å
α = 90.00°, β = 90.00°, γ = 90.00°
Sites, in units of the cell vectors:
Sn (0.5000, 0.5000, 0.0000)
Pb (0.5000, 0.5000, 0.5000)
Hf (0.0000, 0.0000, 0.2390)
Hf (0.0000, 0.0000, 0.7610)

---

So what do the calculations give for calculated total energy? Going down the list: -0.32533; -0.39370; -0.58651; -0.52694; -0.31943; -0.53431; -0.58498; -0.35337; -0.44238; -0.41658; -0.41801; -0.47068; -0.41477; -0.50126; -0.46836; -0.35929; -0.49917; -0.36615; -0.47245; -0.38545; -0.61496; -0.34397; -0.39926; -0.50404; -0.63301; -0.51217 Ry per atom.
So what do the calculations give for magnetization? Going down the list: 0.000; 0.000; 0.000; 0.000; 0.000; 0.000; 0.000; 0.000; 2.661; 0.000; 0.195; 1.625; 0.000; 0.000; 0.000; 0.000; 0.000; 0.001; 0.000; 0.000; 0.000; 0.000; 0.000; 0.000; 0.000; 0.000 Bohr magnetons per cell.